DFT (PBE) results for a geometry-optimized LiSbOs2 structure.

Lattice parameters (Å, degrees): 3.930 3.930 3.959 90.00 90.00 90.00
Positions (direct):
Li 0.000 0.000 0.000
Sb 0.500 0.500 0.000
Os 0.000 0.500 0.500
Os 0.500 0.000 0.500

Space group = P4/mmm
Formation energy (no corrections) = 445 meV per atom
Energy = -26.71 eV/cell